DFT (PBE-GGA) results for Pr3Si2Rh after structural relaxation.

Formation energy (no corrections) ... -0.739 eV/atom
DOS at the Fermi energy ... 3.3 states/eV/f.u.

The structure in extended XYZ format:
```
24
Lattice="4.311 0.000 0.000 0.000 11.708 0.000 0.000 0.000 12.010" Properties=species:S:1:pos:R:3 pbc="T T T"
Pr 1.078 9.389 8.566
Pr 3.233 11.043 1.432
Pr 1.078 0.666 10.578
Pr 1.078 8.174 2.561
Pr 3.233 10.247 5.320
Pr 3.233 7.316 11.325
Pr 3.233 6.520 7.437
Pr 3.233 2.319 3.443
Pr 1.078 1.461 6.689
Pr 1.078 4.393 0.684
Pr 3.233 3.535 9.448
Pr 1.078 5.189 4.573
Rh 3.233 7.430 4.429
Rh 1.078 1.576 1.576
Rh 3.233 10.132 10.434
Rh 1.078 4.278 7.580
Si 3.233 3.686 6.308
Si 3.233 2.169 0.303
Si 1.078 0.059 3.654
Si 1.078 9.540 11.707
Si 3.233 5.913 2.351
Si 1.078 5.795 9.659
Si 1.078 8.023 5.702
Si 3.233 11.650 8.356
```


DFT (PBE-GGA) results for BaSm2Pt after structural relaxation.

Offset from the most stable computed form ... 0.000 eV per atom
E_form ... -2.1 eV/f.u.
DOS at the Fermi energy ... 3.5 states/eV/f.u.

The structure in extended XYZ format:
```
4
Lattice="4.293 0.000 0.000 2.146 3.718 0.000 2.146 1.239 9.616" Properties=species:S:1:pos:R:3 pbc="T T T"
Sm 2.146 1.239 1.455
Sm 2.146 1.239 8.187
Ba 4.293 2.478 4.777
Pt 4.293 2.478 0.004
```


DFT (PBE-GGA) results for Cs5SmS4 after structural relaxation.

Formation energy (no corrections) ... -1.204 eV/atom

The structure in extended XYZ format:
```
10
Lattice="-1.913 2.007 -3.631 3.703 -6.355 -5.464 -8.362 -4.624 4.724" Properties=species:S:1:pos:R:3 pbc="T T T"
Cs -4.891 -5.582 -3.382
Cs 0.089 -6.702 -3.751
Cs -1.680 -3.391 -0.989
Cs -6.660 -2.271 -0.620
Cs 0.895 -2.174 -4.547
Sm -0.957 1.003 -1.815
S -9.487 -3.929 -0.047
S -3.276 -0.670 -1.518
S 2.916 -5.043 -4.324
S -3.295 -8.302 -2.853
```


DFT (PBE-GGA) results for TbPmEr3 after structural relaxation.

Offset from the most stable computed form ... 0.000 eV per atom
E_form ... 0.0 eV/f.u.
DOS at the Fermi energy ... 7.8 states/eV/f.u.

The structure in extended XYZ format:
```
10
Lattice="9.491 0.000 -1.292 0.000 5.633 0.000 -1.235 0.000 6.148" Properties=species:S:1:pos:R:3 pbc="T T T"
Er 3.353 5.351 1.727
Er 7.303 2.535 0.403
Er 0.952 5.351 4.453
Er 9.283 5.351 -0.282
Er -1.027 2.535 5.138
Er 4.903 2.535 3.129
Tb 3.754 2.535 -0.310
Tb 4.501 5.351 5.166
Pm 1.363 2.535 2.397
Pm 6.893 5.351 2.459
```